The following is a DFT calculation (PBE) of a relaxed structure of Be2Co3.

## Properties
Calculated volume (Å³/atom): 9.50
ΔE to the lowest computed polymorph (meV/atom): 152
Crystal system: orthorhombic
Total magnetic moment (μB/cell): 23.476

Lattice parameters (Å, degrees): 7.8042 11.3745 4.2817 90.00 90.00 90.00
With the nearest neighbours (Å) after each atom.
Space group Fdd2 (No. 43)
Asymmetric unit:
Be1 0.0126 0.3004 0.0000 (multiplicity 16)  8 Co 2.26-2.47, 2 Be 2.44
Co1 0.0000 0.0000 0.4803 (multiplicity 8)  6 Be 2.26-2.35, 4 Co 2.44-2.46
Co2 0.0204 0.3970 0.4831 (multiplicity 16)  5 Be 2.26-2.47, 5 Co 2.28-2.46